{"formula": "BiSeN2F", "functional": "PBE", "state": "optimized geometry", "de_polymorph_mev_per_atom": 810, "magmom_total_mub_per_cell": 4.9, "cell": [[4.4582, 0.0000, 0.0000], [0.0000, 4.4582, 0.0000], [0.0000, 0.0000, 5.7892]], "species": ["F", "Bi", "N", "N", "Se"], "fractional_positions": [[0.5000, 0.5000, 0.5000], [0.0000, 0.0000, 0.0000], [0.5000, 0.0000, 0.0000], [0.0000, 0.5000, 0.0000], [0.0000, 0.0000, 0.5000]]}